[1]
Compound: CsPmPb2F8
Source: the Alexandria database
Functional: PBE
Structure: relaxed

abc: 4.217 6.265 8.491
angles: 90.00 90.00 90.00
Fractional positions:
Cs: 0.000 0.000 0.000
Pm: 0.000 0.000 0.500
Pb: 0.500 0.500 0.246
Pb: 0.500 0.500 0.754
F: 0.000 0.254 0.294
F: 0.000 0.254 0.706
F: 0.000 0.746 0.294
F: 0.000 0.746 0.706
F: 0.500 0.202 0.500
F: 0.500 0.299 0.000
F: 0.500 0.701 0.000
F: 0.500 0.798 0.500

Summary:
* raw formation energy: -2.995 eV per atom
* space-group type: Pmmm
* crystal system: orthorhombic
* calculated volume: 224.34 Å³/cell

---

[2]
Compound: Sr4PmHg5
Source: the Alexandria database
Functional: PBE
Structure: relaxed

abc: 3.956 3.956 19.851
angles: 90.00 90.00 90.00
Fractional positions:
Sr: 0.000 0.000 0.102
Sr: 0.000 0.000 0.306
Sr: 0.000 0.000 0.694
Sr: 0.000 0.000 0.898
Pm: 0.000 0.000 0.500
Hg: 0.500 0.500 0.000
Hg: 0.500 0.500 0.204
Hg: 0.500 0.500 0.412
Hg: 0.500 0.500 0.588
Hg: 0.500 0.500 0.796

Summary:
* space-group type: P4/mmm
* crystal system: tetragonal
* calculated volume: 310.72 Å³/cell
* energy relative to the elements: -520 meV/atom